Tb3Sm8Er2 | Alexandria | PBE-GGA | optimized geometry; energy of formation = 0.216 eV/atom; electronic total energy = -4.459 eV/atom
1.0
-2.540 1.141 -4.979
-6.850 0.111 3.520
4.478 9.840 -0.023
Tb Sm Er
3 8 2
Cartesian
-1.270 0.571 -2.490 Tb
-1.962 0.032 1.008 Tb
-4.888 0.079 2.512 Tb
-3.065 3.460 2.353 Sm
-1.847 7.632 -3.835 Sm
-2.259 3.771 -4.515 Sm
-2.654 7.322 3.033 Sm
-1.863 8.369 -0.394 Sm
0.979 8.323 -1.854 Sm
-5.891 2.769 0.371 Sm
-3.049 2.723 -1.089 Sm
-0.760 5.332 -1.648 Er
-4.152 5.760 0.165 Er